Entry 1:
Here is a relaxed structure of Dy6HoAl2 from the Alexandria database. Energies are from PBE.

Structure (POSCAR):
```
Dy6HoAl2
1.0
-1.189 -3.445 0.378
3.597 -2.669 4.738
-6.355 1.289 9.510
Dy Ho Al
6 1 2
direct
0.687 0.502 0.124
0.313 0.498 0.876
0.311 0.790 0.588
0.978 0.714 0.330
0.022 0.286 0.670
0.689 0.210 0.412
0.000 0.000 0.000
0.352 0.092 0.204
0.648 0.908 0.796
```

Output
offset from the most stable computed form = 0.00 kcal/mol of atoms
calculated total energy = -4.575 eV per atom

Entry 2:
Here is a relaxed structure of Dy12Ho3Al from the Alexandria database. Energies are from PBE.

Structure (POSCAR):
```
Dy12Ho3Al
1.0
-2.081 -0.761 4.397
-0.216 -4.829 -0.938
18.078 -2.391 8.142
Dy Ho Al
12 3 1
direct
0.500 0.500 0.000
0.500 0.500 0.243
0.500 0.500 0.500
0.500 0.500 0.757
0.500 0.000 0.118
0.500 0.000 0.372
0.500 0.000 0.628
0.500 0.000 0.882
0.000 0.500 0.118
0.000 0.500 0.372
0.000 0.500 0.628
0.000 0.500 0.882
0.000 0.000 0.246
0.000 0.000 0.500
0.000 0.000 0.754
0.000 0.000 0.000
```

Output
calculated total energy = -4.564 eV per atom

Entry 3:
Here is a relaxed structure of DyHoAl6 from the Alexandria database. Energies are from PBE.

Structure (POSCAR):
```
DyHoAl6
1.0
5.498 0.000 0.000
0.000 5.498 0.000
0.000 0.000 5.498
Dy Ho Al
1 1 6
direct
0.000 0.000 0.000
0.500 0.500 0.500
0.500 0.750 0.000
0.750 0.000 0.500
0.000 0.500 0.250
0.250 0.000 0.500
0.500 0.250 0.000
0.000 0.500 0.750
```

Output
offset from the most stable computed form = 7.61 kcal/mol of atoms
calculated total energy = -4.044 eV per atom

Entry 4:
Here is a relaxed structure of Dy5HoAl6 from the Alexandria database. Energies are from PBE.

Structure (POSCAR):
```
Dy5HoAl6
1.0
4.819 -0.029 1.606
0.039 7.201 0.013
-0.001 -0.014 8.038
Dy Al Ho
5 6 1
direct
0.667 0.500 0.666
0.334 0.000 0.333
0.000 0.500 0.000
0.666 0.000 0.667
0.333 0.500 0.334
0.834 0.751 0.333
0.834 0.249 0.333
0.500 0.249 0.000
0.500 0.751 0.000
0.166 0.751 0.667
0.166 0.249 0.667
0.000 0.000 0.000
```

Output
calculated total energy = -4.568 eV per atom

Entry 5:
Here is a relaxed structure of Dy3HoAl from the Alexandria database. Energies are from PBE.

Structure (POSCAR):
```
Dy3HoAl
1.0
5.420 -0.770 -0.674
0.064 5.474 -0.674
0.064 0.055 5.515
Dy Ho Al
3 1 1
direct
0.680 0.269 0.269
0.269 0.680 0.269
0.269 0.269 0.680
0.770 0.770 0.770
0.137 0.137 0.137
```

Output
offset from the most stable computed form = 8.75 kcal/mol of atoms
calculated total energy = -4.190 eV per atom

Entry 6:
Here is a relaxed structure of Dy3HoAl2 from the Alexandria database. Energies are from PBE.

Structure (POSCAR):
```
Dy3HoAl2
1.0
4.802 0.000 -0.003
0.000 8.757 0.000
-2.405 -4.378 7.400
Dy Ho Al
6 2 4
direct
0.500 0.250 0.000
0.500 0.750 0.000
0.826 0.076 0.651
0.174 0.424 0.349
0.174 0.924 0.349
0.826 0.576 0.651
0.000 0.500 0.000
0.000 0.000 0.000
0.343 0.343 0.687
0.657 0.157 0.313
0.343 0.843 0.687
0.657 0.657 0.313
```

Output
offset from the most stable computed form = 2.16 kcal/mol of atoms
calculated total energy = -4.511 eV per atom